Entry 1:
Here is a geometry-optimized Tl5Fe structure from Alexandria via LeMat-Bulk. Energies are from PBE-GGA.

abc: 6.3456 6.3456 6.3456
angles: 60.00 60.00 60.00
Last column: nearest neighbours and their distance in Å.
Fractional coordinates of all 6 atoms:
Tl  0.1235  0.6255  0.6255  6 Tl 3.16-3.19
Tl  0.6255  0.1235  0.6255  6 Tl 3.16-3.19
Tl  0.2500  0.2500  0.2500  12 Tl 3.72, 4 Fe 3.89
Tl  0.6255  0.6255  0.6255  6 Tl 3.16-3.19
Tl  0.6255  0.6255  0.1235  6 Tl 3.16-3.19
Fe  0.0000  0.0000  0.0000  16 Tl 3.72-3.89

Entry 2:
Here is a geometry-optimized Tl2Fe structure from Alexandria via LeMat-Bulk. Energies are from PBE-GGA.

abc: 3.2832 3.2832 7.3022
angles: 90.00 90.00 120.00
Last column: nearest neighbours and their distance in Å.
Fractional coordinates of all 3 atoms:
Tl  0.6667  0.3333  0.6984  3 Fe 2.91
Tl  0.3333  0.6667  0.3016  3 Fe 2.91
Fe  0.0000  0.0000  0.0000  6 Tl 2.91

Entry 3:
Here is a geometry-optimized TlFe3 structure from Alexandria via LeMat-Bulk. Energies are from PBE-GGA.

abc: 5.0722 5.0722 5.0722
angles: 116.80 116.80 116.80
Last column: nearest neighbours and their distance in Å.
Fractional coordinates of all 4 atoms:
Tl  0.0000  0.5000  0.5000  6 Fe 2.66, 2 Tl 2.75
Fe  0.5000  0.5000  0.0000  6 Fe 2.66-2.75, 2 Tl 2.66
Fe  0.5000  0.0000  0.5000  6 Fe 2.66-2.75, 2 Tl 2.66
Fe  0.0000  0.0000  0.0000  2 Tl 2.66, 6 Fe 2.66-2.75

Entry 4:
Here is a geometry-optimized TlFe structure from Alexandria via LeMat-Bulk. Energies are from PBE-GGA.

abc: 8.0176 8.0176 8.0176
angles: 90.00 90.00 90.00
Last column: nearest neighbours and their distance in Å.
Fractional coordinates of all 16 atoms:
Tl  0.2889  0.2889  0.2889  4 Fe 2.59-2.80
Tl  0.7889  0.2111  0.2111  4 Fe 2.59-2.80
Tl  0.2111  0.7889  0.2111  4 Fe 2.59-2.80
Tl  0.2111  0.2111  0.7889  4 Fe 2.59-2.80
Tl  0.7111  0.2889  0.7111  4 Fe 2.59-2.80
Tl  0.7111  0.7111  0.2889  4 Fe 2.59-2.80
Tl  0.2889  0.7111  0.7111  4 Fe 2.59-2.80
Tl  0.7889  0.7889  0.7889  4 Fe 2.59-2.80
Fe  0.3978  0.3978  0.6022  3 Fe 2.32, 1 Tl 2.59
Fe  0.1022  0.1022  0.1022  3 Fe 2.32, 1 Tl 2.59
Fe  0.8978  0.8978  0.1022  3 Fe 2.32, 1 Tl 2.59
Fe  0.8978  0.1022  0.8978  3 Fe 2.32, 1 Tl 2.59
Fe  0.3978  0.6022  0.3978  3 Fe 2.32, 1 Tl 2.59
Fe  0.6022  0.6022  0.6022  3 Fe 2.32, 1 Tl 2.59
Fe  0.6022  0.3978  0.3978  3 Fe 2.32, 1 Tl 2.59
Fe  0.1022  0.8978  0.8978  3 Fe 2.32, 1 Tl 2.59

Entry 5:
Here is a geometry-optimized TlFe2 structure from Alexandria via LeMat-Bulk. Energies are from PBE-GGA.

abc: 5.3298 5.3298 6.6848
angles: 69.27 69.27 33.39
Last column: nearest neighbours and their distance in Å.
Fractional coordinates of all 6 atoms:
Fe  0.0218  0.0218  0.7910  5 Fe 2.47-2.66
Fe  0.3514  0.3514  0.0486  4 Fe 2.47-2.49
Fe  0.6486  0.6486  0.9514  4 Fe 2.47-2.49
Fe  0.9782  0.9782  0.2090  5 Fe 2.47-2.66
Tl  0.6601  0.6601  0.3761  8 Fe 2.79-3.02, 3 Tl 3.06-3.07
Tl  0.3399  0.3399  0.6239  8 Fe 2.79-3.02, 3 Tl 3.06-3.07

Entry 6:
Here is a geometry-optimized TlFe structure from Alexandria via LeMat-Bulk. Energies are from PBE-GGA.

abc: 2.9764 5.2080 4.8658
angles: 90.00 90.00 90.00
Last column: nearest neighbours and their distance in Å.
Fractional coordinates of all 4 atoms:
Fe  0.5000  0.5000  0.8185  6 Tl 2.76-2.94, 2 Fe 2.98
Fe  0.0000  0.0000  0.0148  6 Tl 2.76-2.94, 2 Fe 2.98
Tl  0.0000  0.5000  0.2970  6 Fe 2.76-2.94, 2 Tl 2.98
Tl  0.5000  0.0000  0.5363  6 Fe 2.76-2.94, 2 Tl 2.98

Entry 7:
Here is a geometry-optimized TlFe2 structure from Alexandria via LeMat-Bulk. Energies are from PBE-GGA.

abc: 3.0340 3.0340 6.2829
angles: 90.00 90.00 120.00
Last column: nearest neighbours and their distance in Å.
Fractional coordinates of all 3 atoms:
Tl  0.0000  0.0000  0.0000  6 Fe 2.91, 6 Tl 3.03
Fe  0.3333  0.6667  0.3690  3 Fe 2.40
Fe  0.6667  0.3333  0.6310  3 Fe 2.40

Entry 8:
Here is a geometry-optimized TlFe structure from Alexandria via LeMat-Bulk. Energies are from PBE-GGA.

abc: 7.4938 7.4938 7.4938
angles: 90.00 90.00 90.00
Last column: nearest neighbours and their distance in Å.
Fractional coordinates of all 12 atoms:
Tl  0.2500  0.0000  0.5000  4 Fe 2.65
Tl  0.0000  0.5000  0.7500  4 Fe 2.65
Tl  0.7500  0.0000  0.5000  4 Fe 2.65
Tl  0.5000  0.2500  0.0000  4 Fe 2.65
Tl  0.0000  0.5000  0.2500  4 Fe 2.65
Tl  0.5000  0.7500  0.0000  4 Fe 2.65
Fe  0.5000  0.0000  0.7500  4 Tl 2.65
Fe  0.0000  0.7500  0.5000  4 Tl 2.65
Fe  0.5000  0.0000  0.2500  4 Tl 2.65
Fe  0.0000  0.2500  0.5000  4 Tl 2.65
Fe  0.2500  0.5000  0.0000  4 Tl 2.65
Fe  0.7500  0.5000  0.0000  4 Tl 2.65

Entry 9:
Here is a geometry-optimized TlFe structure from Alexandria via LeMat-Bulk. Energies are from PBE-GGA.

abc: 9.1355 9.1355 4.0620
angles: 90.00 90.00 90.00
Last column: nearest neighbours and their distance in Å.
Fractional coordinates of all 16 atoms:
Tl  0.0000  0.2646  0.5000  6 Fe 2.78-2.79
Tl  0.5000  0.7646  0.0000  6 Fe 2.78-2.79
Tl  0.0000  0.7354  0.5000  6 Fe 2.78-2.79
Tl  0.2354  0.5000  0.0000  6 Fe 2.78-2.79
Tl  0.5000  0.2354  0.0000  6 Fe 2.78-2.79
Tl  0.7646  0.5000  0.0000  6 Fe 2.78-2.79
Tl  0.2646  0.0000  0.5000  6 Fe 2.78-2.79
Tl  0.7354  0.0000  0.5000  6 Fe 2.78-2.79
Fe  0.3018  0.6982  0.5000  2 Fe 2.43
Fe  0.8018  0.1982  0.0000  2 Fe 2.43
Fe  0.6982  0.6982  0.5000  2 Fe 2.43
Fe  0.6982  0.3018  0.5000  2 Fe 2.43
Fe  0.1982  0.1982  0.0000  2 Fe 2.43
Fe  0.8018  0.8018  0.0000  2 Fe 2.43
Fe  0.1982  0.8018  0.0000  2 Fe 2.43
Fe  0.3018  0.3018  0.5000  2 Fe 2.43

Entry 10:
Here is a geometry-optimized TlFe2 structure from Alexandria via LeMat-Bulk. Energies are from PBE-GGA.

abc: 6.6057 6.6057 4.1109
angles: 90.00 90.00 146.99
Last column: nearest neighbours and their distance in Å.
Fractional coordinates of all 6 atoms:
Tl  0.9092  0.0908  0.2500  8 Fe 2.77-2.86, 2 Tl 3.08
Tl  0.0908  0.9092  0.7500  8 Fe 2.77-2.86, 2 Tl 3.08
Fe  0.6295  0.3705  0.2500  4 Fe 2.40-2.57
Fe  0.2482  0.7518  0.2500  4 Fe 2.40-2.57
Fe  0.7518  0.2482  0.7500  4 Fe 2.40-2.57
Fe  0.3705  0.6295  0.7500  4 Fe 2.40-2.57

Entry 11:
Here is a geometry-optimized TlFe structure from Alexandria via LeMat-Bulk. Energies are from PBE-GGA.

abc: 4.6575 4.6575 12.8948
angles: 90.00 90.00 120.00
Last column: nearest neighbours and their distance in Å.
Fractional coordinates of all 12 atoms:
Tl  0.3333  0.6667  0.0765  3 Fe 2.69
Tl  0.3333  0.6667  0.7816  4 Fe 2.90-3.18
Tl  0.0000  0.0000  0.3737  6 Fe 2.69-2.84
Tl  0.6667  0.3333  0.9235  3 Fe 2.69
Tl  0.6667  0.3333  0.2184  4 Fe 2.90-3.18
Tl  0.0000  0.0000  0.6263  6 Fe 2.69-2.84
Fe  0.3333  0.6667  0.5563  1 Fe 2.28
Fe  0.3333  0.6667  0.3794  1 Fe 2.28
Fe  0.6667  0.3333  0.6206  1 Fe 2.28
Fe  0.6667  0.3333  0.4437  1 Fe 2.28
Fe  0.0000  0.0000  0.0871  1 Fe 2.25
Fe  0.0000  0.0000  0.9129  1 Fe 2.25

Entry 12:
Here is a geometry-optimized TlFe structure from Alexandria via LeMat-Bulk. Energies are from PBE-GGA.

abc: 7.9887 13.6564 5.9636
angles: 90.00 90.00 90.00
Last column: nearest neighbours and their distance in Å.
Fractional coordinates of all 32 atoms:
Tl  0.4300  0.7500  0.7500  4 Fe 2.75-2.81, 1 Tl 2.88
Tl  0.0700  0.2500  0.2500  4 Fe 2.75-2.81, 1 Tl 2.88
Tl  0.4300  0.2500  0.2500  4 Fe 2.75-2.81, 1 Tl 2.88
Tl  0.8200  0.5000  0.0000  4 Fe 2.75-2.81, 1 Tl 2.88
Tl  0.1800  0.0000  0.5000  4 Fe 2.75-2.81, 1 Tl 2.88
Tl  0.9300  0.7500  0.2500  4 Fe 2.75-2.81, 1 Tl 2.88
Tl  0.3200  0.0000  0.0000  4 Fe 2.75-2.81, 1 Tl 2.88
Tl  0.3200  0.5000  0.5000  4 Fe 2.75-2.81, 1 Tl 2.88
Tl  0.6800  0.0000  0.0000  4 Fe 2.75-2.81, 1 Tl 2.88
Tl  0.9300  0.2500  0.7500  4 Fe 2.75-2.81, 1 Tl 2.88
Tl  0.6800  0.5000  0.5000  4 Fe 2.75-2.81, 1 Tl 2.88
Tl  0.0700  0.7500  0.7500  4 Fe 2.75-2.81, 1 Tl 2.88
Tl  0.1800  0.5000  0.0000  4 Fe 2.75-2.81, 1 Tl 2.88
Tl  0.8200  0.0000  0.5000  4 Fe 2.75-2.81, 1 Tl 2.88
Tl  0.5700  0.2500  0.7500  4 Fe 2.75-2.81, 1 Tl 2.88
Tl  0.5700  0.7500  0.2500  4 Fe 2.75-2.81, 1 Tl 2.88
Fe  0.0000  0.0859  0.0000  1 Fe 2.35
Fe  0.0000  0.4141  0.5000  1 Fe 2.35
Fe  0.0000  0.5859  0.5000  1 Fe 2.35
Fe  0.7500  0.6641  0.7500  1 Fe 2.35
Fe  0.2500  0.8359  0.2500  1 Fe 2.35
Fe  0.2500  0.1641  0.7500  1 Fe 2.35
Fe  0.0000  0.9141  0.0000  1 Fe 2.35
Fe  0.5000  0.5859  0.0000  1 Fe 2.35
Fe  0.5000  0.4141  0.0000  1 Fe 2.35
Fe  0.7500  0.1641  0.2500  1 Fe 2.35
Fe  0.7500  0.3359  0.2500  1 Fe 2.35
Fe  0.2500  0.3359  0.7500  1 Fe 2.35
Fe  0.7500  0.8359  0.7500  1 Fe 2.35
Fe  0.5000  0.0859  0.5000  1 Fe 2.35
Fe  0.5000  0.9141  0.5000  1 Fe 2.35
Fe  0.2500  0.6641  0.2500  1 Fe 2.35

Entry 13:
Here is a geometry-optimized Tl2Fe structure from Alexandria via LeMat-Bulk. Energies are from PBE-GGA.

abc: 3.1065 7.0136 7.0172
angles: 90.00 90.00 90.00
Last column: nearest neighbours and their distance in Å.
Fractional coordinates of all 6 atoms:
Tl  0.0000  0.2691  0.7301  3 Fe 2.67-2.76
Tl  0.5000  0.7691  0.7699  3 Fe 2.67-2.76
Tl  0.5000  0.2309  0.2301  3 Fe 2.67-2.76
Tl  0.0000  0.7309  0.2699  3 Fe 2.67-2.76
Fe  0.5000  0.5000  0.5000  6 Tl 2.67-2.76
Fe  0.0000  0.0000  0.0000  6 Tl 2.67-2.76

Entry 14:
Here is a geometry-optimized Tl4Fe structure from Alexandria via LeMat-Bulk. Energies are from PBE-GGA.

abc: 5.6059 5.6059 5.6059
angles: 109.47 109.47 109.47
Last column: nearest neighbours and their distance in Å.
Fractional coordinates of all 5 atoms:
Tl  0.0000  0.5000  0.0000  2 Fe 2.80
Tl  0.5000  0.0000  0.0000  2 Fe 2.80
Tl  0.5000  0.5000  0.5000  2 Fe 2.80
Tl  0.0000  0.0000  0.5000  2 Fe 2.80
Fe  0.0000  0.0000  0.0000  8 Tl 2.80

Entry 15:
Here is a geometry-optimized Tl5Fe3 structure from Alexandria via LeMat-Bulk. Energies are from PBE-GGA.

abc: 8.1110 8.1110 6.0258
angles: 90.00 90.00 120.00
Last column: nearest neighbours and their distance in Å.
Fractional coordinates of all 16 atoms:
Fe  0.5934  0.5934  0.7500  7 Tl 2.87-2.89
Fe  0.5934  0.0000  0.2500  7 Tl 2.87-2.89
Fe  0.0000  0.5934  0.2500  7 Tl 2.87-2.89
Fe  0.4066  0.4066  0.2500  7 Tl 2.87-2.89
Fe  0.0000  0.4066  0.7500  7 Tl 2.87-2.89
Fe  0.4066  0.0000  0.7500  7 Tl 2.87-2.89
Tl  0.2365  0.2365  0.7500  3 Fe 2.87-2.89
Tl  0.6667  0.3333  0.5000  6 Fe 2.89, 2 Tl 3.01
Tl  0.3333  0.6667  0.0000  6 Fe 2.89, 2 Tl 3.01
Tl  0.3333  0.6667  0.5000  6 Fe 2.89, 2 Tl 3.01
Tl  0.6667  0.3333  0.0000  6 Fe 2.89, 2 Tl 3.01
Tl  0.7635  0.7635  0.2500  3 Fe 2.87-2.89
Tl  0.0000  0.7635  0.7500  3 Fe 2.87-2.89
Tl  0.2365  0.0000  0.2500  3 Fe 2.87-2.89
Tl  0.0000  0.2365  0.2500  3 Fe 2.87-2.89
Tl  0.7635  0.0000  0.7500  3 Fe 2.87-2.89

Entry 16:
Here is a geometry-optimized Tl2Fe structure from Alexandria via LeMat-Bulk. Energies are from PBE-GGA.

abc: 4.7454 4.7454 3.6460
angles: 90.00 90.00 120.00
Last column: nearest neighbours and their distance in Å.
Fractional coordinates of all 3 atoms:
Fe  0.0000  0.0000  0.0000  6 Tl 2.91
Tl  0.3333  0.6667  0.7339  3 Fe 2.91, 3 Tl 3.23
Tl  0.6667  0.3333  0.2661  3 Fe 2.91, 3 Tl 3.23

Entry 17:
Here is a geometry-optimized TlFe structure from Alexandria via LeMat-Bulk. Energies are from PBE-GGA.

abc: 5.5194 5.5194 5.5194
angles: 90.00 90.00 90.00
Last column: nearest neighbours and their distance in Å.
Fractional coordinates of all 8 atoms:
Tl  0.0000  0.5000  0.0000  6 Fe 2.76
Tl  0.5000  0.0000  0.0000  6 Fe 2.76
Tl  0.5000  0.5000  0.5000  6 Fe 2.76
Tl  0.0000  0.0000  0.5000  6 Fe 2.76
Fe  0.5000  0.0000  0.5000  6 Tl 2.76
Fe  0.0000  0.5000  0.5000  6 Tl 2.76
Fe  0.5000  0.5000  0.0000  6 Tl 2.76
Fe  0.0000  0.0000  0.0000  6 Tl 2.76

Entry 18:
Here is a geometry-optimized Tl4Fe structure from Alexandria via LeMat-Bulk. Energies are from PBE-GGA.

abc: 9.0729 9.0729 9.0729
angles: 153.21 153.21 38.25
Last column: nearest neighbours and their distance in Å.
Fractional coordinates of all 5 atoms:
Tl  0.2500  0.7500  0.5000  4 Tl 2.97
Tl  0.5867  0.5867  0.0000  1 Tl 2.97, 4 Fe 3.32
Tl  0.4133  0.4133  0.0000  1 Tl 2.97, 4 Fe 3.32
Tl  0.7500  0.2500  0.5000  4 Tl 2.97
Fe  0.0000  0.0000  0.0000  8 Tl 3.32

Entry 19:
Here is a geometry-optimized Tl5Fe3 structure from Alexandria via LeMat-Bulk. Energies are from PBE-GGA.

abc: 10.2267 10.0072 8.0200
angles: 96.26 104.27 145.57
Last column: nearest neighbours and their distance in Å.
Fractional coordinates of all 16 atoms:
Fe  0.7004  0.7478  0.6647  3 Fe 2.40-2.57
Fe  0.1433  0.2160  0.0244  3 Fe 2.36-2.53
Fe  0.2930  0.8224  0.8332  1 Fe 2.28
Fe  0.7061  0.1776  0.1668  1 Fe 2.28
Fe  0.8559  0.7841  0.9756  3 Fe 2.36-2.53
Fe  0.2987  0.2523  0.3353  3 Fe 2.40-2.57
Tl  0.8202  0.2324  0.5614  2 Fe 2.81-2.90
Tl  0.2546  0.2838  0.7230  4 Fe 2.80-3.03, 1 Tl 3.12
Tl  0.6652  0.3495  0.9238  3 Fe 2.74-2.91
Tl  0.3547  0.0592  0.1701  4 Fe 2.71-2.93
Tl  0.1790  0.7676  0.4386  2 Fe 2.81-2.90
Tl  0.7445  0.7162  0.2770  4 Fe 2.80-3.03, 1 Tl 3.12
Tl  0.6444  0.9409  0.8300  4 Fe 2.71-2.93
Tl  0.1383  0.3710  0.3486  4 Fe 2.72-2.94
Tl  0.8608  0.6290  0.6513  4 Fe 2.72-2.94
Tl  0.3340  0.6505  0.0762  3 Fe 2.74-2.91

Entry 20:
Here is a geometry-optimized TlFe structure from Alexandria via LeMat-Bulk. Energies are from PBE-GGA.

abc: 6.1091 6.1091 6.1091
angles: 90.00 90.00 90.00
Last column: nearest neighbours and their distance in Å.
Fractional coordinates of all 8 atoms:
Tl  0.5000  0.0000  0.5000  4 Fe 2.65
Tl  0.0000  0.5000  0.5000  4 Fe 2.65
Tl  0.0000  0.0000  0.0000  4 Fe 2.65
Tl  0.5000  0.5000  0.0000  4 Fe 2.65
Fe  0.7500  0.7500  0.2500  4 Tl 2.65
Fe  0.2500  0.2500  0.2500  4 Tl 2.65
Fe  0.2500  0.7500  0.7500  4 Tl 2.65
Fe  0.7500  0.2500  0.7500  4 Tl 2.65

| no. | final energy (eV/atom) | DOS(E_F) (states/eV/f.u.) |
| --- | --- | --- |
| 1 | -2.76 | 8.4 |
| 2 | -3.81 | 2.0 |
| 3 | -6.40 | 3.5 |
| 4 | -4.67 | 2.1 |
| 5 | -6.01 | 2.1 |
| 6 | -4.70 | 1.6 |
| 7 | -5.87 | 2.1 |
| 8 | -4.05 | 1.5 |
| 9 | -4.88 | 1.1 |
| 10 | -5.98 | 1.6 |
| 11 | -4.82 | 1.5 |
| 12 | -4.71 | 2.2 |
| 13 | -3.87 | 2.9 |
| 14 | -3.30 | 1.2 |
| 15 | -4.03 | 8.1 |
| 16 | -3.73 | 2.8 |
| 17 | -4.55 | 2.0 |
| 18 | -2.90 | 6.1 |
| 19 | -4.24 | 6.6 |
| 20 | -4.11 | 1.3 |